This record from Alexandria via LeMat-Bulk describes a relaxed YMgIN2 crystal. The functional is PBE.

## Properties
Formation energy from raw total energies ... 0.589 eV/atom
Spin magnetization ... 0.00 μB/atom
Fermi-level density of states ... 2.3 states/eV per cell
Energy above the most stable polymorph in this dataset ... 100 meV per atom
Crystal system ... tetragonal

a b c (Å): 4.2157 4.2157 5.2906
angles (deg): 90.00 90.00 90.00
Closest atoms and distances in Å follow each position.
Space group P4/mmm (No. 123)
Inequivalent atoms, fractional coordinates:
Y1 0.0000 0.0000 0.0000  4 I 2.98
Mg1 0.5000 0.5000 0.5000  4 N 2.11
I1 0.5000 0.5000 0.0000  2 Mg 2.65
N1 0.0000 0.5000 0.5000  2 Mg 2.11

***

This record from Alexandria via LeMat-Bulk describes a relaxed YMgIN2 crystal. The functional is PBE.

## Properties
Formation energy from raw total energies ... 0.489 eV/atom
Spin magnetization ... 0.12 μB/atom
Fermi-level density of states ... 3.8 states/eV per cell
Energy above the most stable polymorph in this dataset ... 0 meV per atom
Crystal system ... tetragonal

a b c (Å): 4.3917 4.3917 6.1703
angles (deg): 90.00 90.00 90.00
Closest atoms and distances in Å follow each position.
Space group P4/mmm (No. 123)
Inequivalent atoms, fractional coordinates:
Y1 0.0000 0.0000 0.0000  4 N 2.20
Mg1 0.5000 0.5000 0.5000  4 I 3.11
I1 0.0000 0.0000 0.5000  2 Y 3.09, 4 Mg 3.11
N1 0.0000 0.5000 0.0000  2 Y 2.20

***

This record from Alexandria via LeMat-Bulk describes a relaxed MgZnI2N crystal. The functional is PBE.

## Properties
Formation energy from raw total energies ... 0.370 eV/atom
Spin magnetization ... 0.32 μB/atom
Fermi-level density of states ... 1.5 states/eV per cell
Energy above the most stable polymorph in this dataset ... 12 meV per atom
Crystal system ... tetragonal

a b c (Å): 5.8637 5.8637 3.8044
angles (deg): 90.00 90.00 90.00
Closest atoms and distances in Å follow each position.
Space group P4/mmm (No. 123)
Inequivalent atoms, fractional coordinates:
Mg1 0.0000 0.0000 0.0000  8 I 3.49, 2 Mg 3.80
Zn1 0.5000 0.5000 0.5000  2 N 1.90
I1 0.0000 0.5000 0.5000  2 Zn 2.93
N1 0.5000 0.5000 0.0000  2 Zn 1.90

***

This record from Alexandria via LeMat-Bulk describes a relaxed MgZnIN2 crystal. The functional is PBE.

## Properties
Formation energy from raw total energies ... 1.202 eV/atom
Spin magnetization ... 0.51 μB/atom
Fermi-level density of states ... 2.5 states/eV per cell
Energy above the most stable polymorph in this dataset ... 42 meV per atom
Crystal system ... tetragonal

a b c (Å): 4.0406 4.0406 6.0043
angles (deg): 90.00 90.00 90.00
Closest atoms and distances in Å follow each position.
Space group P4/mmm (No. 123)
Inequivalent atoms, fractional coordinates:
Mg1 0.0000 0.0000 0.0000  4 I 2.86
Zn1 0.5000 0.5000 0.5000  4 N 2.02
I1 0.5000 0.5000 0.0000  4 Mg 2.86, 2 Zn 3.00
N1 0.0000 0.5000 0.5000  2 Zn 2.02

***

This record from Alexandria via LeMat-Bulk describes a relaxed MgZnIN2 crystal. The functional is PBE.

## Properties
Formation energy from raw total energies ... 1.161 eV/atom
Spin magnetization ... 0.79 μB/atom
Fermi-level density of states ... 1.7 states/eV per cell
Energy above the most stable polymorph in this dataset ... 0 meV per atom
Crystal system ... tetragonal

a b c (Å): 4.2296 4.2296 6.2564
angles (deg): 90.00 90.00 90.00
Closest atoms and distances in Å follow each position.
Space group P4/mmm (No. 123)
Inequivalent atoms, fractional coordinates:
Mg1 0.0000 0.0000 0.0000  4 N 2.11
Zn1 0.5000 0.5000 0.5000  4 I 2.99
I1 0.0000 0.0000 0.5000  4 Zn 2.99, 2 Mg 3.13
N1 0.0000 0.5000 0.0000  2 Mg 2.11

***

This record from Alexandria via LeMat-Bulk describes a relaxed MgZn2IN crystal. The functional is PBE.

## Properties
Formation energy from raw total energies ... 0.136 eV/atom
Spin magnetization ... 0.00 μB/atom
Fermi-level density of states ... 2.2 states/eV per cell
Crystal system ... tetragonal

a b c (Å): 4.7757 4.7757 4.1651
angles (deg): 90.00 90.00 90.00
Closest atoms and distances in Å follow each position.
Space group P4/mmm (No. 123)
Inequivalent atoms, fractional coordinates:
Mg1 0.0000 0.0000 0.0000  2 N 2.08
Zn1 0.0000 0.5000 0.5000  2 N 2.39
I1 0.5000 0.5000 0.0000  8 Zn 3.17, 4 Mg 3.38
N1 0.0000 0.0000 0.5000  2 Mg 2.08